i:
A plane-wave DFT calculation with PBE-GGA was carried out for a relaxed structure of Ga2HgN.

a b c (Å): 5.994 5.994 5.994
angles (deg): 122.48 122.48 85.75
Fractional positions:
Ga  0.030  0.625  0.905
Ga  0.375  0.280  0.405
Ga  0.720  0.125  0.095
Ga  0.875  0.970  0.595
Hg  0.250  0.750  0.500
Hg  0.500  0.500  0.000
N  0.000  0.000  0.000
N  0.750  0.250  0.500

Results
As for the mass density: 8.05 Mg/m³. As for the space group: I-42d. The density of states at the Fermi level comes out at 0.387 states/eV/atom.

=====

ii:
A plane-wave DFT calculation with PBE-GGA was carried out for a relaxed structure of Ga2HgN.

a b c (Å): 4.617 4.617 4.617
angles (deg): 60.00 60.00 60.00
Fractional positions:
Ga  0.250  0.250  0.250
Ga  0.750  0.750  0.750
Hg  0.000  0.000  0.000
N  0.500  0.500  0.500

Results
As for the mass density: 8.45 Mg/m³. As for the space group: Fm-3m. The density of states at the Fermi level comes out at 0.876 states/eV/atom.

=====

Computed stability ranking, most favorable first: i, ii